{
  "formula": "PCS2Cl",
  "functional": "PBE",
  "state": "optimized geometry",
  "formation_energy_uncorrected_mev_per_atom": 1712,
  "polymorph_energy_ev_per_atom": 0.3116,
  "dos_ef_per_ev_cell": 2.88,
  "lattice_angstrom": [[-2.4563, 3.0255, 2.3078], [-3.4806, -0.6763, -2.8180], [-1.5782, -3.3885, 2.7625]],
  "species": ["P", "S", "S", "C", "Cl"],
  "fractional_positions": [[0.0000, 0.0000, 0.0000], [0.0000, 0.5000, 0.0000], [0.5000, 0.0000, 0.0000], [0.5000, 0.5000, 0.5000], [0.0000, 0.0000, 0.5000]]
}

=====

{
  "formula": "BeGaTc",
  "functional": "PBE",
  "state": "optimized geometry",
  "ef_ev_per_fu": -0.05,
  "polymorph_energy_ev_per_atom": 0.2730,
  "dos_ef_per_ev_cell": 1.62,
  "lattice_angstrom": [[2.9969, 0.0000, 0.0000], [0.0000, 2.9969, 0.0000], [-1.4984, -1.4984, 4.2854]],
  "species": ["Be", "Tc", "Ga"],
  "fractional_positions": [[0.9703, 0.9703, 0.9405], [0.5953, 0.5953, 0.1907], [0.2844, 0.2844, 0.5688]]
}

=====

{
  "formula": "AcZnSn",
  "functional": "PBE",
  "state": "optimized geometry",
  "ef_ev_per_fu": -1.55,
  "polymorph_energy_ev_per_atom": 0.0804,
  "dos_ef_per_ev_cell": 7.55,
  "lattice_angstrom": [[4.8599, 0.0000, 0.0000], [0.0000, 4.8549, 0.0000], [0.0000, 0.0000, 14.5437]],
  "species": ["Zn", "Zn", "Zn", "Zn", "Ac", "Ac", "Ac", "Ac", "Sn", "Sn", "Sn", "Sn"],
  "fractional_positions": [[0.7502, 0.4998, 0.5000], [0.7498, 0.5002, 0.0000], [0.2498, 0.9998, 0.0000], [0.2502, 0.0002, 0.5000], [0.7498, 0.0003, 0.1506], [0.7502, 0.9997, 0.6506], [0.2502, 0.5003, 0.3494], [0.2498, 0.4997, 0.8494], [0.7498, 0.9999, 0.8876], [0.7502, 0.0001, 0.3876], [0.2502, 0.4999, 0.6124], [0.2498, 0.5001, 0.1124]]
}

=====

{
  "formula": "LaTa2Ru2",
  "functional": "PBE",
  "state": "optimized geometry",
  "ef_ev_per_fu": -1.38,
  "polymorph_energy_ev_per_atom": 0.0000,
  "dos_ef_per_ev_cell": 3.72,
  "lattice_angstrom": [[-3.6396, 2.3141, -0.8504], [-1.2346, -3.0233, -2.9429], [-5.0869, -3.0835, 2.0184]],
  "species": ["Ru", "Ru", "La", "Ta", "Ta"],
  "fractional_positions": [[0.3763, 0.3763, 0.2474], [0.6237, 0.6237, 0.7526], [0.0000, 0.0000, 0.0000], [0.7500, 0.2500, 0.5000], [0.2500, 0.7500, 0.5000]]
}

=====

{
  "formula": "Rb3I2F",
  "functional": "PBE",
  "state": "optimized geometry",
  "formation_energy_uncorrected_mev_per_atom": -1859,
  "polymorph_energy_ev_per_atom": 0.0000,
  "dos_ef_per_ev_cell": 0.00,
  "lattice_angstrom": [[7.1157, 0.0000, 3.1042], [3.1913, 7.6955, 2.3923], [0.0055, 0.0122, 9.6949]],
  "species": ["Rb", "Rb", "Rb", "Rb", "Rb", "Rb", "I", "I", "I", "I", "F", "F"],
  "fractional_positions": [[0.2587, 0.0000, 0.0000], [0.7413, 0.0000, 0.0000], [0.1141, 0.1916, 0.5803], [0.8859, 0.8084, 0.4197], [0.3069, 0.6143, 0.7719], [0.6931, 0.3857, 0.2281], [0.2017, 0.4163, 0.1802], [0.7983, 0.5837, 0.8198], [0.4138, 0.8130, 0.3595], [0.5862, 0.1870, 0.6405], [0.8824, 0.0525, 0.1828], [0.1176, 0.9475, 0.8172]]
}

=====

{
  "formula": "AcLa9Dy4",
  "functional": "PBE",
  "state": "optimized geometry",
  "ef_ev_per_fu": 2.17,
  "dos_ef_per_ev_cell": 46.56,
  "lattice_angstrom": [[11.7390, 0.0000, 0.0000], [0.0000, 8.7315, -5.0411], [0.0000, 0.0000, 10.0822]],
  "species": ["Ac", "Ac", "La", "La", "La", "La", "La", "La", "La", "La", "La", "La", "La", "La", "La", "La", "La", "La", "La", "La", "Dy", "Dy", "Dy", "Dy", "Dy", "Dy", "Dy", "Dy"],
  "fractional_positions": [[0.2500, 0.6667, 0.3333], [0.7500, 0.3333, 0.6667], [0.0243, 0.7958, 0.5916], [0.0243, 0.7958, 0.2042], [0.0243, 0.4084, 0.2042], [0.9757, 0.2042, 0.4084], [0.9757, 0.2042, 0.7958], [0.9757, 0.5916, 0.7958], [0.5243, 0.2042, 0.4084], [0.5243, 0.2042, 0.7958], [0.5243, 0.5916, 0.7958], [0.4757, 0.7958, 0.5916], [0.4757, 0.7958, 0.2042], [0.4757, 0.4084, 0.2042], [0.2500, 0.4561, 0.9121], [0.2500, 0.4561, 0.5439], [0.2500, 0.0879, 0.5439], [0.7500, 0.5439, 0.0879], [0.7500, 0.5439, 0.4561], [0.7500, 0.9121, 0.4561], [0.2500, 0.1097, 0.2194], [0.2500, 0.1097, 0.8903], [0.2500, 0.7806, 0.8903], [0.7500, 0.8903, 0.7806], [0.7500, 0.8903, 0.1097], [0.7500, 0.2194, 0.1097], [0.0000, 0.0000, 0.0000], [0.5000, 0.0000, 0.0000]]
}

=====

{
  "formula": "Pd4Cl",
  "functional": "PBE",
  "state": "optimized geometry",
  "formation_energy_uncorrected_mev_per_atom": 497,
  "dos_ef_per_ev_cell": 8.12,
  "lattice_angstrom": [[4.4929, 0.0000, 0.0000], [0.0000, 4.4929, 0.0000], [0.0000, 0.0000, 4.4929]],
  "species": ["Pd", "Pd", "Pd", "Pd", "Cl"],
  "fractional_positions": [[0.0000, 0.0000, 0.0000], [0.5000, 0.0000, 0.5000], [0.0000, 0.5000, 0.5000], [0.5000, 0.5000, 0.0000], [0.5000, 0.5000, 0.5000]]
}

=====

{
  "formula": "Ir2RuW2",
  "functional": "PBE",
  "state": "optimized geometry",
  "ef_ev_per_fu": 3.06,
  "polymorph_energy_ev_per_atom": 0.7561,
  "dos_ef_per_ev_cell": 4.93,
  "lattice_angstrom": [[-0.4581, -3.2174, 1.7891], [3.0728, 0.6588, 1.9714], [-2.0687, 1.5935, 6.1823]],
  "species": ["Ru", "Ir", "Ir", "W", "W"],
  "fractional_positions": [[0.0000, 0.0000, 0.0000], [0.7500, 0.2500, 0.5000], [0.2500, 0.7500, 0.5000], [0.3985, 0.3985, 0.2031], [0.6015, 0.6015, 0.7969]]
}

=====

{
  "formula": "NdYC",
  "functional": "PBE",
  "state": "optimized geometry",
  "ef_ev_per_fu": -0.55,
  "polymorph_energy_ev_per_atom": 0.0000,
  "dos_ef_per_ev_cell": 10.14,
  "lattice_angstrom": [[7.3185, 0.0000, 0.0000], [0.0000, 6.6926, 0.8262], [0.0000, 3.9375, 6.5354]],
  "species": ["Nd", "Nd", "Nd", "Nd", "Y", "Y", "Y", "Y", "C", "C", "C", "C"],
  "fractional_positions": [[0.8741, 0.7731, 0.0016], [0.3741, 0.7269, 0.4984], [0.1259, 0.2269, 0.9984], [0.6259, 0.2731, 0.5016], [0.8751, 0.7239, 0.4833], [0.3751, 0.7761, 0.0167], [0.1249, 0.2761, 0.5167], [0.6249, 0.2239, 0.9833], [0.6247, 0.7582, 0.2459], [0.1247, 0.7418, 0.2541], [0.3753, 0.2418, 0.7541], [0.8753, 0.2582, 0.7459]]
}

=====

{
  "formula": "Zr2TaTc",
  "functional": "PBE",
  "state": "optimized geometry",
  "ef_ev_per_fu": 0.25,
  "polymorph_energy_ev_per_atom": 0.2547,
  "dos_ef_per_ev_cell": 3.64,
  "lattice_angstrom": [[9.5645, 0.0415, 0.0244], [9.0450, 3.1098, 0.0244], [9.0450, 1.5316, 2.7066]],
  "species": ["Ta", "Tc", "Zr", "Zr"],
  "fractional_positions": [[0.4908, 0.4908, 0.4908], [0.7541, 0.7541, 0.7541], [0.0090, 0.0090, 0.0090], [0.2461, 0.2461, 0.2461]]
}

=====

{
  "formula": "LiCeErFe",
  "functional": "PBE",
  "state": "optimized geometry",
  "ef_ev_per_fu": 0.44,
  "dos_ef_per_ev_cell": 5.77,
  "lattice_angstrom": [[4.8426, 0.0000, 0.0000], [2.4213, 4.1938, 0.0000], [2.4213, 1.3979, 3.9539]],
  "species": ["Li", "Fe", "Ce", "Er"],
  "fractional_positions": [[0.0000, 0.0000, 0.0000], [0.5000, 0.5000, 0.5000], [0.2500, 0.2500, 0.2500], [0.7500, 0.7500, 0.7500]]
}

=====

{
  "formula": "Ho2Ga3CuPt4",
  "functional": "PBE",
  "state": "optimized geometry",
  "ef_ev_per_fu": -8.77,
  "dos_ef_per_ev_cell": 4.22,
  "lattice_angstrom": [[4.0140, 0.0000, 0.0000], [0.0000, 4.0140, 0.0000], [0.0000, 0.0000, 11.3809]],
  "species": ["Ho", "Ho", "Ga", "Ga", "Ga", "Cu", "Pt", "Pt", "Pt", "Pt"],
  "fractional_positions": [[0.5000, 0.0000, 0.2598], [0.0000, 0.5000, 0.7402], [0.0000, 0.0000, 0.5000], [0.5000, 0.0000, 0.8654], [0.0000, 0.5000, 0.1346], [0.5000, 0.5000, 0.5000], [0.5000, 0.5000, 0.0000], [0.0000, 0.0000, 0.0000], [0.5000, 0.0000, 0.6483], [0.0000, 0.5000, 0.3517]]
}

=====

{
  "formula": "K2ErTiSe4",
  "functional": "PBE",
  "state": "optimized geometry",
  "formation_energy_uncorrected_mev_per_atom": -1436,
  "dos_ef_per_ev_cell": 4.27,
  "lattice_angstrom": [[4.0135, 0.0000, 0.0000], [0.0000, 6.9779, 0.1191], [0.0000, -2.4467, 7.6151]],
  "species": ["K", "K", "Er", "Ti", "Se", "Se", "Se", "Se"],
  "fractional_positions": [[0.5000, 0.0000, 0.5000], [0.0000, 0.5000, 0.5000], [0.5000, 0.5000, 0.0000], [0.0000, 0.0000, 0.0000], [0.5000, 0.2155, 0.1928], [0.5000, 0.7845, 0.8072], [0.0000, 0.2508, 0.7989], [0.0000, 0.7492, 0.2011]]
}

=====

{
  "formula": "YSiIN2",
  "functional": "PBE",
  "state": "optimized geometry",
  "formation_energy_uncorrected_mev_per_atom": 532,
  "polymorph_energy_ev_per_atom": 0.0000,
  "dos_ef_per_ev_cell": 1.27,
  "lattice_angstrom": [[-3.5839, 1.5999, -0.7543], [-1.6078, -2.2363, 2.8960], [0.9447, 3.7166, 3.3944]],
  "species": ["I", "Y", "Si", "N", "N"],
  "fractional_positions": [[0.0000, 0.0000, 0.5000], [0.5000, 0.5000, 0.5000], [0.0000, 0.0000, 0.0000], [0.0000, 0.5000, 0.0000], [0.5000, 0.0000, 0.0000]]
}

=====

{
  "formula": "AlFeCl2",
  "functional": "PBE",
  "state": "optimized geometry",
  "formation_energy_uncorrected_mev_per_atom": 205,
  "polymorph_energy_ev_per_atom": 0.6791,
  "dos_ef_per_ev_cell": 4.35,
  "lattice_angstrom": [[-2.2487, 2.5106, 5.6127], [-4.0001, -2.3956, 4.5960], [5.2116, -1.0697, -3.8153]],
  "species": ["Al", "Fe", "Cl", "Cl"],
  "fractional_positions": [[0.7500, 0.2500, 0.5000], [0.5000, 0.5000, 0.0000], [0.0000, 0.0000, 0.0000], [0.2500, 0.7500, 0.5000]]
}

=====

{
  "formula": "PrTmAsP",
  "functional": "PBE",
  "state": "optimized geometry",
  "ef_ev_per_fu": -5.57,
  "dos_ef_per_ev_cell": 0.32,
  "lattice_angstrom": [[-1.2837, -2.7675, -2.7157], [-1.2203, -0.2382, 3.8899], [-4.2761, 5.9558, -0.9775]],
  "species": ["Pr", "Tm", "As", "P"],
  "fractional_positions": [[0.9604, 0.3782, 0.3540], [0.3114, 0.5536, 0.8803], [0.4813, 0.1386, 0.6353], [0.1248, 0.9604, 0.1001]]
}

=====

{
  "formula": "Re2NiRh",
  "functional": "PBE",
  "state": "optimized geometry",
  "ef_ev_per_fu": 0.16,
  "polymorph_energy_ev_per_atom": 0.1244,
  "dos_ef_per_ev_cell": 4.05,
  "lattice_angstrom": [[-3.7027, 0.2013, 0.4533], [-0.1619, -3.7177, 0.3282], [0.4960, 0.3234, 3.9079]],
  "species": ["Ni", "Re", "Re", "Rh"],
  "fractional_positions": [[0.0000, 0.5000, 0.5000], [0.0000, 0.0000, 0.0000], [0.5000, 0.5000, 0.0000], [0.5000, 0.0000, 0.5000]]
}

=====

{
  "formula": "Y2HfFeRh",
  "functional": "PBE",
  "state": "optimized geometry",
  "ef_ev_per_fu": 2.90,
  "dos_ef_per_ev_cell": 5.12,
  "lattice_angstrom": [[5.2713, 0.0000, 0.0000], [0.0000, 4.5000, 0.0000], [0.0000, 0.0000, 5.2713]],
  "species": ["Y", "Y", "Rh", "Hf", "Fe"],
  "fractional_positions": [[0.0000, 0.0000, 0.5000], [0.5000, 0.0000, 0.0000], [0.0000, 0.0000, 0.0000], [0.5000, 0.5000, 0.5000], [0.0000, 0.5000, 0.0000]]
}

=====

{
  "formula": "Zr2Rh",
  "functional": "PBE",
  "state": "optimized geometry",
  "ef_ev_per_fu": -0.15,
  "dos_ef_per_ev_cell": 3.02,
  "lattice_angstrom": [[2.3687, -4.1027, 0.0000], [2.3687, 4.1027, 0.0000], [0.0000, 0.0000, 2.8757]],
  "species": ["Zr", "Zr", "Rh"],
  "fractional_positions": [[0.3333, 0.6667, 0.0000], [0.6667, 0.3333, 0.0000], [0.0000, 0.0000, 0.5000]]
}

=====

{
  "formula": "CaNd2CrN4",
  "functional": "PBE",
  "state": "optimized geometry",
  "formation_energy_uncorrected_mev_per_atom": -962,
  "dos_ef_per_ev_cell": 5.42,
  "lattice_angstrom": [[-2.1860, -1.2925, 2.4159], [5.1413, -3.6575, 0.1526], [4.9239, 7.2698, 8.3447]],
  "species": ["Ca", "Ca", "Nd", "Nd", "Nd", "Nd", "Cr", "Cr", "N", "N", "N", "N", "N", "N", "N", "N"],
  "fractional_positions": [[0.1121, 0.2243, 0.7500], [0.8879, 0.7757, 0.2500], [0.3693, 0.7386, 0.5402], [0.6307, 0.2614, 0.0402], [0.6307, 0.2614, 0.4598], [0.3693, 0.7386, 0.9598], [0.8269, 0.6538, 0.7500], [0.1731, 0.3462, 0.2500], [0.2646, 0.5292, 0.1326], [0.7354, 0.4708, 0.6326], [0.7354, 0.4708, 0.8674], [0.2646, 0.5292, 0.3674], [0.0000, 0.0000, 0.5000], [0.0000, 0.0000, 0.0000], [0.3990, 0.7981, 0.7500], [0.6010, 0.2019, 0.2500]]
}

=====

{
  "formula": "Cs14Rb6Ag3",
  "functional": "PBE",
  "state": "optimized geometry",
  "ef_ev_per_fu": 0.88,
  "dos_ef_per_ev_cell": 22.66,
  "lattice_angstrom": [[9.6027, 0.0000, 0.0000], [0.0000, 13.7504, -7.9388], [0.0000, 0.0000, 15.8776]],
  "species": ["Cs", "Cs", "Cs", "Cs", "Cs", "Cs", "Cs", "Cs", "Cs", "Cs", "Cs", "Cs", "Cs", "Cs", "Rb", "Rb", "Rb", "Rb", "Rb", "Rb", "Ag", "Ag", "Ag"],
  "fractional_positions": [[0.9047, 0.1253, 0.2509], [0.9047, 0.7491, 0.8744], [0.9047, 0.1256, 0.8747], [0.4099, 0.2075, 0.4162], [0.4099, 0.5838, 0.7913], [0.4099, 0.2087, 0.7925], [0.5307, 0.0000, 0.0000], [0.0400, 0.3333, 0.6667], [0.6909, 0.7800, 0.2209], [0.6909, 0.7791, 0.5591], [0.6909, 0.4409, 0.2200], [0.2202, 0.5530, 0.4468], [0.2202, 0.5532, 0.1062], [0.2202, 0.8938, 0.4470], [0.2304, 0.8714, 0.1276], [0.2304, 0.8724, 0.7439], [0.2304, 0.2561, 0.1286], [0.7437, 0.4604, 0.5385], [0.7437, 0.4615, 0.9220], [0.7437, 0.0780, 0.5396], [0.1065, 0.0000, 0.0000], [0.6129, 0.3333, 0.6667], [0.4533, 0.6667, 0.3333]]
}

=====

{
  "formula": "MgNi",
  "functional": "PBE",
  "state": "optimized geometry",
  "ef_ev_per_fu": -0.21,
  "dos_ef_per_ev_cell": 9.17,
  "lattice_angstrom": [[4.7916, 0.0000, 0.0000], [0.0000, 5.0854, 0.0000], [0.0000, 0.0000, 9.8936]],
  "species": ["Mg", "Mg", "Mg", "Mg", "Mg", "Mg", "Mg", "Mg", "Ni", "Ni", "Ni", "Ni", "Ni", "Ni", "Ni", "Ni"],
  "fractional_positions": [[0.1496, 0.9125, 0.0262], [0.6496, 0.5875, 0.9738], [0.8504, 0.4125, 0.4738], [0.3504, 0.0875, 0.5262], [0.1426, 0.3414, 0.8115], [0.6426, 0.1586, 0.1885], [0.8574, 0.8414, 0.6885], [0.3574, 0.6586, 0.3115], [0.6608, 0.1002, 0.9235], [0.1608, 0.3998, 0.0765], [0.3392, 0.6002, 0.5765], [0.8392, 0.8998, 0.4235], [0.3700, 0.8410, 0.7827], [0.8700, 0.6590, 0.2173], [0.6300, 0.3410, 0.7173], [0.1300, 0.1590, 0.2827]]
}

=====

{
  "formula": "La6Sm2DyTm",
  "functional": "PBE",
  "state": "optimized geometry",
  "ef_ev_per_fu": 1.15,
  "dos_ef_per_ev_cell": 23.92,
  "lattice_angstrom": [[8.9814, -1.6180, -1.6791], [1.1281, 8.8406, -1.8362], [1.1281, -2.1626, 8.7665]],
  "species": ["La", "La", "La", "La", "La", "La", "La", "La", "La", "La", "La", "La", "Sm", "Sm", "Sm", "Sm", "Dy", "Dy", "Tm", "Tm"],
  "fractional_positions": [[0.0891, 0.0759, 0.7752], [0.4109, 0.2248, 0.9241], [0.9109, 0.9241, 0.2248], [0.5891, 0.7752, 0.0759], [0.3191, 0.0266, 0.4631], [0.1809, 0.5369, 0.9734], [0.6809, 0.9734, 0.5369], [0.8191, 0.4631, 0.0266], [0.0979, 0.7157, 0.4333], [0.4021, 0.5667, 0.2843], [0.9021, 0.2843, 0.5667], [0.5979, 0.4333, 0.7157], [0.4364, 0.7951, 0.7062], [0.0636, 0.2938, 0.2049], [0.5636, 0.2049, 0.2938], [0.9364, 0.7062, 0.7951], [0.2500, 0.9365, 0.0635], [0.7500, 0.0635, 0.9365], [0.2500, 0.4279, 0.5721], [0.7500, 0.5721, 0.4279]]
}

=====

Total moment list, top to bottom, in Bohr magnetons per cell: 1.0, 0.0, 0.0, 0.0, 0.0, 0.0, 0.0, 0.0, 1.0, 0.0, 0.1, 0.0, 1.0, 0.0, 3.1, 0.0, 0.0, 1.6, 0.0, 3.8, 0.0, 0.0, 0.0
Theoretical density list, top to bottom, in g/cm3: 2.483, 7.625, 7.958, 11.066, 3.312, 6.836, 8.443, 16.665, 5.496, 9.724, 7.655, 12.523, 4.717, 5.520, 3.028, 6.816, 16.076, 6.840, 8.478, 5.632, 2.136, 4.574, 6.947